No. 1
MnCo2CuN PBE optimized geometry; E_form (uncorrected) = -0.05 eV per atom; density = 7.752 Mg/m³; crystal system = tetragonal; total magnetization = 1.01 μB per atom; raw total energy = -36.028 eV/cell
1.0
3.740 0.000 0.000
0.000 3.740 0.000
0.000 0.000 3.834
Mn Co Cu N
1 2 1 1
Cartesian
0.000 0.000 1.917
0.000 1.870 0.000
1.870 0.000 0.000
1.870 1.870 1.917
0.000 0.000 0.000

---

No. 2
NaSbN2O PBE optimized geometry; E_form (uncorrected) = 0.36 eV per atom; density = 4.575 Mg/m³; crystal system = tetragonal; total magnetization = 0.39 μB per atom; raw total energy = -25.248 eV/cell
1.0
-3.002 -2.536 -1.186
1.215 -2.747 2.797
-2.498 1.678 2.734
Sb N O Na
1 2 1 1
Cartesian
0.000 0.000 0.000
0.608 -1.374 1.399
-1.501 -1.268 -0.593
-1.249 0.839 1.367
-2.142 -1.803 2.172

---

Which formula does entry 2 have? NaSbN2O

---

Look up the total magnetization of the first one. 1.01 μB per atom